Computed, not measured: a relaxed Pa2BeCo3Ge4 crystal at the PBE-GGA level of DFT.

a b c (Å): 4.0274 4.0274 9.6306
angles (deg): 90.00 90.00 90.00
Closest atoms and distances in Å follow each position.
Space group P-4m2 (No. 115)
Unique sites:
1 Pa 0.0000 0.5000 0.2479  8 Ge 3.07-3.15, 6 Co 3.08-3.12, 2 Be 3.12
2 Be 0.5000 0.5000 0.0000  4 Ge 2.36
3 Co 0.0000 0.0000 0.0000  4 Ge 2.36
4 Co 0.0000 0.5000 0.6316  5 Ge 2.31-2.38
5 Ge 0.0000 0.0000 0.5000  4 Co 2.38
6 Ge 0.0000 0.5000 0.8717  3 Co 2.31-2.36, 2 Be 2.36
7 Ge 0.5000 0.5000 0.5000  4 Co 2.38

Results
The total DFT energy (no corrections) is -67.5 eV for the cell shown.